Entry 1:
YRu after structural relaxation. Source: the Alexandria database, functional GGA-PBE.

Cell and atoms, written as extended XYZ:
```
6
Lattice="5.8188 -1.5982 0.0000 5.8188 1.5982 0.0000 -2.7838 0.0000 6.8071" Properties=species:S:1:pos:R:3 pbc="T T T"
Y 0.0000 0.0000 0.0000
Y -1.1585 0.0000 3.8895
Y 7.5435 0.0000 2.6501
Ru 1.3024 0.0000 5.0420
Ru 3.8866 0.0000 1.4304
Ru 5.6403 0.0000 6.5501
```

Summary:
As for the total DFT energy (no corrections): -7.9163 eV per atom. Its space group is Cm (8).

Entry 2:
Ba3TcAg after structural relaxation. Source: the Alexandria database, functional GGA-PBE.

Cell and atoms, written as extended XYZ:
```
5
Lattice="5.8651 0.0000 0.0000 0.0000 5.8651 0.0000 0.0000 0.0000 5.8651" Properties=species:S:1:pos:R:3 pbc="T T T"
Ba 0.0000 0.0000 2.9325
Ba 0.0000 2.9325 0.0000
Ba 2.9325 0.0000 0.0000
Tc 0.0000 0.0000 0.0000
Ag 2.9325 2.9325 2.9325
```

Summary:
As for the total DFT energy (no corrections): -3.3544 eV per atom. Its space group is Pm-3m (221).

- Number 1 is which compound?
  YRu